Entry 1:
{
  "formula": "LiNiGe2",
  "functional": "GGA-PBE",
  "state": "optimized geometry",
  "cell": [[3.7151, 0.0000, 0.0000], [0.0000, 3.8915, 0.0000], [0.0000, 0.0000, 3.8915]],
  "species": ["Ni", "Ge", "Ge", "Li"],
  "frac_coords": [[0.5000, 0.5000, 0.5000], [0.0000, 0.0000, 0.5000], [0.0000, 0.5000, 0.0000], [0.5000, 0.0000, 0.0000]],
  "energy_ev_per_atom": -4.358,
  "polymorph_energy_ev_per_atom": 0.147,
  "rho_g_cm3": 6.23,
  "magmom_total_mub_per_atom": 0.0000,
  "formation_enthalpy_0k_ev_per_atom": -0.13
}

=====

Entry 2:
{
  "formula": "Li3Ni2Ge3",
  "functional": "GGA-PBE",
  "state": "optimized geometry",
  "cell": [[-2.5727, 0.7396, 3.2079], [-0.7597, -3.0029, 2.8039], [4.2254, 1.4228, 5.7816]],
  "species": ["Li", "Li", "Li", "Ni", "Ni", "Ge", "Ge", "Ge"],
  "frac_coords": [[0.7491, 0.7491, 0.7527], [0.6247, 0.6247, 0.1259], [0.2483, 0.2483, 0.2552], [0.4951, 0.4951, 0.5147], [0.0075, 0.0075, 0.9776], [0.8826, 0.8826, 0.3521], [0.3670, 0.3670, 0.8991], [0.1257, 0.1257, 0.6228]],
  "energy_ev_per_atom": -4.200,
  "rho_g_cm3": 5.68,
  "magmom_total_mub_per_atom": 0.0000,
  "formation_enthalpy_0k_ev_per_atom": -0.31
}